# 1
PBE-GGA ScTaMo2, relaxed; SG = Pmmm, No. 47; calculated total energy = -9.804 eV per atom; formation enthalpy at 0 K = 157 meV/atom; relative energy among the computed polymorphs = 146 meV per atom; M_tot = 0.00 μB per formula unit
1.0
-0.185 -1.422 2.937
4.677 -1.003 -0.191
0.914 3.892 1.942
Mo Sc Ta
2 1 1
Direct
0.500 0.500 0.000 Mo
0.000 0.000 0.000 Mo
0.500 0.000 0.500 Sc
0.000 0.500 0.500 Ta

---

# 2
PBE-GGA NpIn2Sb, relaxed; uncorrected formation energy = -0.509 eV per formula unit; SG = P4/mmm, No. 123; calculated total energy = -5.762 eV per atom; relative energy among the computed polymorphs = 0 meV per atom; M_tot = 4.09 μB per formula unit
1.0
-0.213 -4.958 -0.302
1.788 -0.328 4.116
-4.124 0.068 1.797
Sb In Np
1 2 1
Direct
0.500 0.500 0.500 Sb
0.000 0.000 0.500 In
0.000 0.500 0.000 In
0.500 0.000 0.000 Np

---

# 3
PBE-GGA Li2CdFe, relaxed; SG = C2/m, No. 12; calculated total energy = -3.118 eV per atom; formation enthalpy at 0 K = 184 meV/atom; M_tot = 2.44 μB per formula unit
1.0
-0.395 -5.285 1.385
0.445 1.351 -5.290
2.459 -0.920 -0.605
Fe Li Cd
1 2 1
Direct
0.000 0.500 0.500 Fe
0.500 0.500 0.000 Li
0.000 0.000 0.000 Li
0.500 0.000 0.500 Cd

---

# 4
PBE-GGA SrYBi2, relaxed; SG = I-42d, No. 122; calculated total energy = -4.296 eV per atom; formation enthalpy at 0 K = -319 meV/atom; relative energy among the computed polymorphs = 463 meV per atom; M_tot = 0.00 μB per formula unit
1.0
-3.240 4.074 -4.111
-5.190 0.040 4.130
-0.869 8.894 4.148
Y Bi Sr
2 4 2
Direct
0.000 0.000 0.000 Y
0.750 0.250 0.500 Y
0.676 0.125 0.250 Bi
0.375 0.324 0.750 Bi
0.074 0.625 0.250 Bi
0.875 0.926 0.750 Bi
0.500 0.500 0.000 Sr
0.250 0.750 0.500 Sr

---

# 5
PBE-GGA Ho12Ni6Sn, relaxed; SG = Im-3, No. 204; calculated total energy = -5.341 eV per atom; formation enthalpy at 0 K = -413 meV/atom; M_tot = 0.00 μB per formula unit
1.0
-7.155 0.552 4.297
5.873 -3.518 4.805
2.480 7.656 -2.280
Ho Ni Sn
12 6 1
Direct
0.491 0.188 0.304 Ho
0.812 0.304 0.116 Ho
0.304 0.116 0.812 Ho
0.812 0.696 0.509 Ho
0.304 0.491 0.188 Ho
0.696 0.509 0.812 Ho
0.188 0.304 0.491 Ho
0.696 0.884 0.188 Ho
0.116 0.812 0.304 Ho
0.884 0.188 0.696 Ho
0.509 0.812 0.696 Ho
0.188 0.696 0.884 Ho
0.376 0.500 0.876 Ni
0.876 0.376 0.500 Ni
0.124 0.624 0.500 Ni
0.500 0.876 0.376 Ni
0.500 0.124 0.624 Ni
0.624 0.500 0.124 Ni
0.000 0.000 0.000 Sn